NiHgSbAu | PBE | optimized geometry

The space group is F-43m (No. 216) and the conventional cell measures 6.773, 6.773 and 6.773 Å, with angles of 90.00, 90.00 and 90.00 degrees. The distinct sites, in fractional coordinates, are Ni at (0.000, 0.000, 0.000), Hg at (0.000, 0.000, 0.500), Sb at (0.250, 0.250, 0.750) and Au at (0.250, 0.250, 0.250).

The calculated total energy is -0.1099 Ha/atom. The magnetic moment is 0.00 μB per formula unit.



BeAlReNi | PBE | optimized geometry

The space group is F-43m (No. 216) and the conventional cell measures 5.778, 5.778 and 5.778 Å, with angles of 90.00, 90.00 and 90.00 degrees. The distinct sites, in fractional coordinates, are Be at (0.000, 0.000, 0.000), Al at (0.250, 0.250, 0.250), Re at (0.250, 0.250, 0.750) and Ni at (0.000, 0.000, 0.500).

The calculated total energy is -0.2326 Ha/atom. The magnetic moment is 1.16 μB per formula unit.